{
  "formula": "Ca3LaC4O12",
  "functional": "GGA-PBE",
  "state": "relaxed",
  "raw_formation_energy_ev_per_atom": -2.176,
  "n_ef_per_ev_atom": 0.245,
  "e_tot_ev_per_atom": -7.542,
  "total_magnetization_mub_per_atom": 0.053,
  "sg": "R32 (155)",
  "lattice_angstrom": [[-1.218, -2.461, 5.999], [-2.525, -4.699, -3.883], [6.471, -1.142, -0.598]],
  "species": ["Ca", "Ca", "Ca", "La", "C", "C", "C", "C", "O", "O", "O", "O", "O", "O", "O", "O", "O", "O", "O", "O"],
  "frac_coords": [[0.533, 0.467, 0.000], [0.467, 0.000, 0.533], [0.000, 0.533, 0.467], [0.000, 0.000, 0.000], [0.966, 0.034, 0.500], [0.034, 0.500, 0.966], [0.500, 0.966, 0.034], [0.500, 0.500, 0.500], [0.500, 0.373, 0.627], [0.906, 0.500, 0.094], [0.094, 0.906, 0.500], [0.500, 0.094, 0.906], [0.371, 0.967, 0.162], [0.162, 0.371, 0.967], [0.967, 0.162, 0.371], [0.629, 0.838, 0.033], [0.033, 0.629, 0.838], [0.838, 0.033, 0.629], [0.627, 0.500, 0.373], [0.373, 0.627, 0.500]]
}